{"formula": "Y2WC", "functional": "PBE", "state": "relaxed", "lattice_angstrom": [[9.4713, 0.0000, 0.0000], [0.0000, 9.4713, 0.0000], [4.7356, 4.7356, 2.0359]], "species": ["Y", "Y", "W", "C", "Y", "Y", "W", "C"], "fractional_positions": [[0.4593, 0.1250, 0.2500], [0.2907, 0.6250, 0.2500], [0.7500, 0.2500, 0.5000], [0.5000, 0.5000, 0.0000], [0.8750, 0.7093, 0.7500], [0.3750, 0.5407, 0.7500], [0.0000, 0.0000, 0.0000], [0.2500, 0.7500, 0.5000]], "sg": "I-42d", "formation_energy_ev_per_atom": 0.259, "dos_ef_per_ev_cell": 11.50}